Record 1
The following is a GGA-PBEsol calculation of an optimized crystal structure of LiTl2Pb, from the Alexandria database. Values from VASP.

Summary:
Calculated volume in Å³ per cell: 103.1
Excess energy over the best structure of this formula in the dataset in eV/atom: 0.036

The structure in Quantum ESPRESSO input format:
```
&SYSTEM
  ibrav = 0, nat = 4, ntyp = 3
/
ATOMIC_SPECIES
Li 6.94 Li.upf
Tl 204.38 Tl.upf
Pb 207.20 Pb.upf
CELL_PARAMETERS angstrom
-0.449 2.894 1.833
-2.211 0.038 2.655
6.459 -1.780 7.652
ATOMIC_POSITIONS angstrom
Li 1.930 0.565 6.096
Tl 6.447 -1.776 7.642
Tl 2.674 0.930 8.957
Pb 1.106 0.230 3.165
```

---

Record 2
The following is a GGA-PBEsol calculation of an optimized crystal structure of LiTl2Pb, from the Alexandria database. Values from VASP.

Summary:
Calculated volume in Å³ per cell: 102.3
Excess energy over the best structure of this formula in the dataset in eV/atom: 0.024

The structure in Quantum ESPRESSO input format:
```
&SYSTEM
  ibrav = 0, nat = 4, ntyp = 3
/
ATOMIC_SPECIES
Tl 204.38 Tl.upf
Li 6.94 Li.upf
Pb 207.20 Pb.upf
CELL_PARAMETERS angstrom
-0.021 -2.564 -2.324
2.975 -1.120 -1.368
1.845 -7.831 6.046
ATOMIC_POSITIONS angstrom
Tl 3.577 -8.465 1.577
Tl 1.222 -3.050 0.777
Li 2.399 -5.758 1.177
Pb 0.000 0.000 0.000
```